1.
12
Lattice="5.862 -0.120 -0.514 -0.684 7.032 -0.718 -0.140 0.051 7.100" Properties=species:S:1:pos:R:3 comment="NiSn4Hg PBE-GGA optimized geometry" dft_energy_ev_per_cell=-44.66 formation_enthalpy_0k_mev_per_atom=-39 sg=C2/c pbc="T T T"
Sn 5.547 0.654 4.413
Sn 1.901 6.063 3.975
Sn 4.933 4.708 5.168
Sn 2.291 4.891 -0.007
Sn 0.105 2.256 0.700
Sn 2.748 2.073 5.876
Sn -0.509 6.310 1.455
Sn 3.137 0.901 1.893
Ni 3.714 6.932 -1.092
Ni 1.325 0.032 6.960
Hg 3.953 3.852 2.358
Hg 1.085 3.112 3.510

---

2.
3
Lattice="4.414 0.000 0.000 2.207 3.823 0.000 2.207 1.274 3.604" Properties=species:S:1:pos:R:3 comment="NiSnHg PBE-GGA optimized geometry" dft_energy_ev_per_cell=-10.08 formation_enthalpy_0k_mev_per_atom=3 sg=F-43m pbc="T T T"
Ni 2.207 1.274 0.901
Sn 4.414 2.549 1.802
Hg 0.000 0.000 0.000

---

3.
6
Lattice="0.095 -4.256 -1.189 3.626 -1.752 -1.822 -0.066 2.278 8.635" Properties=species:S:1:pos:R:3 comment="NiSnHg PBE-GGA optimized geometry" dft_energy_ev_per_cell=-20.31 formation_enthalpy_0k_mev_per_atom=-23 sg=C2/m pbc="T T T"
Hg 2.801 -3.683 1.055
Hg 0.854 -0.048 4.570
Ni 3.652 -5.402 -0.997
Ni 0.002 1.672 6.622
Sn 2.717 -2.508 5.231
Sn 0.938 -1.222 0.394

---

4.
8
Lattice="-3.849 -5.445 0.035 0.006 -4.122 -5.242 2.793 -6.054 0.523" Properties=species:S:1:pos:R:3 comment="NiSn6Hg PBE-GGA optimized geometry" dft_energy_ev_per_cell=-30.06 formation_enthalpy_0k_mev_per_atom=5 sg=R-3 pbc="T T T"
Sn -1.632 -11.805 -1.918
Sn 0.412 -10.400 -3.823
Sn -0.078 -2.559 0.020
Sn -1.462 -5.222 -0.861
Sn 0.582 -3.817 -2.767
Sn -0.972 -13.063 -4.704
Hg -0.525 -7.811 -2.342
Ni 0.000 0.000 0.000

---

Repeat the fourth record exactly.
8
Lattice="-3.849 -5.445 0.035 0.006 -4.122 -5.242 2.793 -6.054 0.523" Properties=species:S:1:pos:R:3 comment="NiSn6Hg PBE-GGA optimized geometry" dft_energy_ev_per_cell=-30.06 formation_enthalpy_0k_mev_per_atom=5 sg=R-3 pbc="T T T"
Sn -1.632 -11.805 -1.918
Sn 0.412 -10.400 -3.823
Sn -0.078 -2.559 0.020
Sn -1.462 -5.222 -0.861
Sn 0.582 -3.817 -2.767
Sn -0.972 -13.063 -4.704
Hg -0.525 -7.811 -2.342
Ni 0.000 0.000 0.000

---

What did the second record say?
3
Lattice="4.414 0.000 0.000 2.207 3.823 0.000 2.207 1.274 3.604" Properties=species:S:1:pos:R:3 comment="NiSnHg PBE-GGA optimized geometry" dft_energy_ev_per_cell=-10.08 formation_enthalpy_0k_mev_per_atom=3 sg=F-43m pbc="T T T"
Ni 2.207 1.274 0.901
Sn 4.414 2.549 1.802
Hg 0.000 0.000 0.000